# MgCoMo2, relaxed, DFT GGA-PBEsol
# DFT total energy (eV per atom): -7.861
# DFT formation energy (eV per atom): 0.386
data_MgCoMo2
_space_group_name_H-M_alt 'P 1'
_space_group_IT_number 1
_space_group_name_Hall 'P 1'
_cell_length_a 2.728
_cell_length_b 2.728
_cell_length_c 27.407
_cell_angle_alpha 90.00
_cell_angle_beta 90.00
_cell_angle_gamma 120.00
loop_
_atom_site_label
_atom_site_fract_x
_atom_site_fract_y
_atom_site_fract_z
Mg1 0.000 0.000 0.000
Mg2 0.333 0.667 0.667
Mg3 0.667 0.333 0.333
Co1 0.000 0.000 0.500
Co2 0.333 0.667 0.167
Co3 0.667 0.333 0.833
Mo1 0.000 0.000 0.241
Mo2 0.000 0.000 0.759
Mo3 0.333 0.667 0.425
Mo4 0.333 0.667 0.908
Mo5 0.667 0.333 0.092
Mo6 0.667 0.333 0.575


# ScAg3, relaxed, DFT GGA-PBEsol
# DFT total energy (eV per atom): -4.300
# DFT formation energy (eV per atom): -0.166
data_ScAg3
_space_group_name_H-M_alt 'P 1'
_space_group_IT_number 1
_space_group_name_Hall 'P 1'
_cell_length_a 4.398
_cell_length_b 4.398
_cell_length_c 14.603
_cell_angle_alpha 90.00
_cell_angle_beta 90.00
_cell_angle_gamma 90.00
loop_
_atom_site_label
_atom_site_fract_x
_atom_site_fract_y
_atom_site_fract_z
Sc1 0.000 0.000 0.128
Sc2 0.000 0.000 0.872
Sc3 0.500 0.500 0.372
Sc4 0.500 0.500 0.628
Ag1 0.000 0.000 0.376
Ag2 0.000 0.000 0.624
Ag3 0.000 0.500 0.000
Ag4 0.000 0.500 0.250
Ag5 0.000 0.500 0.500
Ag6 0.000 0.500 0.750
Ag7 0.500 0.000 0.000
Ag8 0.500 0.000 0.250
Ag9 0.500 0.000 0.500
Ag10 0.500 0.000 0.750
Ag11 0.500 0.500 0.124
Ag12 0.500 0.500 0.876


Number 1: Fermi-level density of states 4.24 states/eV/f.u.. Number 2: Fermi-level density of states 2.06 states/eV/f.u..